LiTiV2CrO10 | GGA+U | optimized geometry

a b c (Å): 6.562 6.562 5.291
angles (deg): 90.00 90.00 90.00
Space group P-4m2 (No. 115)
One atom of each set of equivalent atoms:
Li: 0.000 0.000 0.000 x1
Ti: 0.500 0.500 0.500 x1
V: 0.000 0.500 0.390 x2
Cr: 0.000 0.000 0.500 x1
O: 0.000 0.205 0.296 x4
O: 0.000 0.500 0.696 x2
O: 0.270 0.500 0.302 x4

Calculated values
total energy	-7.345	eV/atom
excess energy over the best structure of this formula in the dataset	2.73	kJ/mol of atoms